# 1
Below is a relaxed structure of Ba2Tl2Si, with properties calculated at the GGA-PBE level.

Output
SG = P4/mbm (127)
Raw formation energy = -131 meV/atom

Cell lengths 7.959, 7.959, 5.475 Å; angles 90.00, 90.00, 90.00 degrees
Sites, in units of the cell vectors:
Ba (0.822, 0.322, 0.500)
Ba (0.678, 0.822, 0.500)
Ba (0.178, 0.678, 0.500)
Ba (0.322, 0.178, 0.500)
Tl (0.137, 0.363, 0.000)
Tl (0.363, 0.863, 0.000)
Tl (0.637, 0.137, 0.000)
Tl (0.863, 0.637, 0.000)
Si (0.500, 0.500, 0.000)
Si (0.000, 0.000, 0.000)

# 2
Below is a relaxed structure of Ba7Co6, with properties calculated at the GGA-PBE level.

Output
SG = R-3m (166)
Formation enthalpy at 0 K = 95 kJ/mol of atoms

Cell lengths 9.721, 9.721, 9.721 Å; angles 47.21, 47.21, 47.21 degrees
Sites, in units of the cell vectors:
Ba (0.584, 0.584, 0.044)
Ba (0.956, 0.416, 0.416)
Ba (0.416, 0.956, 0.416)
Ba (0.416, 0.416, 0.956)
Ba (0.500, 0.500, 0.500)
Ba (0.584, 0.044, 0.584)
Ba (0.044, 0.584, 0.584)
Co (0.044, 0.044, 0.044)
Co (0.873, 0.873, 0.873)
Co (0.648, 0.648, 0.648)
Co (0.127, 0.127, 0.127)
Co (0.956, 0.956, 0.956)
Co (0.352, 0.352, 0.352)

# 3
Below is a relaxed structure of DyPa3Tl2O12, with properties calculated at the GGA-PBE level.

Output
SG = R-3m (166)
Raw formation energy = -2478 meV/atom

Cell lengths 8.114, 8.114, 8.114 Å; angles 61.29, 61.29, 61.29 degrees
Sites, in units of the cell vectors:
Pa (0.500, 0.000, 0.000)
Pa (0.000, 0.000, 0.500)
Pa (0.000, 0.500, 0.000)
O (0.064, 0.675, 0.064)
O (0.325, 0.936, 0.936)
O (0.691, 0.691, 0.042)
O (0.958, 0.309, 0.309)
O (0.691, 0.042, 0.691)
O (0.936, 0.936, 0.325)
O (0.675, 0.064, 0.064)
O (0.309, 0.309, 0.958)
O (0.309, 0.958, 0.309)
O (0.042, 0.691, 0.691)
O (0.064, 0.064, 0.675)
O (0.936, 0.325, 0.936)
Dy (0.000, 0.000, 0.000)
Tl (0.683, 0.683, 0.683)
Tl (0.317, 0.317, 0.317)

What did the first record say?
Below is a relaxed structure of Ba2Tl2Si, with properties calculated at the GGA-PBE level.

Output
SG = P4/mbm (127)
Raw formation energy = -131 meV/atom

Cell lengths 7.959, 7.959, 5.475 Å; angles 90.00, 90.00, 90.00 degrees
Sites, in units of the cell vectors:
Ba (0.822, 0.322, 0.500)
Ba (0.678, 0.822, 0.500)
Ba (0.178, 0.678, 0.500)
Ba (0.322, 0.178, 0.500)
Tl (0.137, 0.363, 0.000)
Tl (0.363, 0.863, 0.000)
Tl (0.637, 0.137, 0.000)
Tl (0.863, 0.637, 0.000)
Si (0.500, 0.500, 0.000)
Si (0.000, 0.000, 0.000)

What is the formula in the second record?
Ba7Co6